VASP calculation (SCAN) on a crystal of Mn2TlP relaxed with PBEsol.

a = 6.2217 Å, b = 6.2217 Å, c = 6.2217 Å
α = 90.00°, β = 90.00°, γ = 90.00°
Space group F-43m (No. 216)
Asymmetric unit:
Mn1 0.0000 0.0000 0.0000 x4
Mn2 0.2500 0.2500 0.2500 x4
Tl1 0.2500 0.2500 0.7500 x4
P1 0.0000 0.0000 0.5000 x4

Values from the calculation:
As for the calculated volume: 240.8 Å³ per cell. Its theoretical density is 9.5 g/cm³. The formation energy is 659 meV/atom.

***

VASP calculation (SCAN) on a crystal of MnTl3P relaxed with PBEsol.

a = 5.2964 Å, b = 5.2964 Å, c = 5.2964 Å
α = 90.00°, β = 90.00°, γ = 90.00°
Space group Pm-3m (No. 221)
Asymmetric unit:
Mn1 0.0000 0.0000 0.0000 x1
Tl1 0.0000 0.5000 0.5000 x3
P1 0.5000 0.5000 0.5000 x1

Values from the calculation:
As for the calculated volume: 148.6 Å³ per cell. Its theoretical density is 7.8 g/cm³. The formation energy is 669 meV/atom.

***

VASP calculation (SCAN) on a crystal of MnTlP2 relaxed with PBEsol.

a = 5.4398 Å, b = 5.4398 Å, c = 12.4008 Å
α = 90.00°, β = 90.00°, γ = 90.00°
Space group I4_1/amd (No. 141, origin choice 2)
Asymmetric unit:
Mn1 0.0000 0.2500 0.3750 x4
Tl1 0.0000 0.2500 0.8750 x4
P1 0.0000 0.0000 0.5000 x8

Values from the calculation:
As for the calculated volume: 367.0 Å³ per cell. Its theoretical density is 5.8 g/cm³. The formation energy is 78 meV/atom. The calculation puts the offset from the most stable computed form at 0.000 eV/atom.

***

VASP calculation (SCAN) on a crystal of Mn2TlP relaxed with PBEsol.

a = 3.3172 Å, b = 4.9145 Å, c = 7.2766 Å
α = 90.00°, β = 90.00°, γ = 90.00°
Space group Immm (No. 71)
Asymmetric unit:
Mn1 0.0000 0.0000 0.1944 x4
Tl1 0.0000 0.5000 0.0000 x2
P1 0.0000 0.5000 0.5000 x2

Values from the calculation:
As for the calculated volume: 118.6 Å³ per cell. Its theoretical density is 9.7 g/cm³. The formation energy is 176 meV/atom.

***

VASP calculation (SCAN) on a crystal of MnTlP2 relaxed with PBEsol.

a = 3.7491 Å, b = 3.7491 Å, c = 10.1437 Å
α = 90.00°, β = 90.00°, γ = 90.00°
Space group I-4m2 (No. 119)
Asymmetric unit:
Mn1 0.0000 0.0000 0.0000 x2
Tl1 0.0000 0.5000 0.7500 x2
P1 0.0000 0.0000 0.5000 x2
P2 0.0000 0.5000 0.2500 x2

Values from the calculation:
As for the calculated volume: 142.6 Å³ per cell. Its theoretical density is 7.5 g/cm³. The formation energy is 430 meV/atom. The calculation puts the offset from the most stable computed form at 0.351 eV/atom.

***

VASP calculation (SCAN) on a crystal of Tm2Mn12P7 relaxed with PBEsol.

a = 9.0906 Å, b = 9.0906 Å, c = 3.5508 Å
α = 90.00°, β = 90.00°, γ = 120.00°
Space group P-6 (No. 174)
Asymmetric unit:
Tm1 0.0000 0.0000 0.0000 x1
Tm2 0.3333 0.6667 0.5000 x1
Mn1 0.0581 0.2888 0.5000 x3
Mn2 0.0924 0.7109 0.0000 x3
Mn3 0.3897 0.1768 0.0000 x3
Mn4 0.5458 0.4342 0.5000 x3
P1 0.0776 0.4548 0.0000 x3
P2 0.2576 0.2066 0.5000 x3
P3 0.6667 0.3333 0.0000 x1

Values from the calculation:
As for the calculated volume: 254.1 Å³ per cell. Its theoretical density is 7.9 g/cm³. The formation energy is -824 meV/atom.

***

VASP calculation (SCAN) on a crystal of UMn4P2 relaxed with PBEsol.

a = 6.9559 Å, b = 6.9559 Å, c = 3.5739 Å
α = 90.00°, β = 90.00°, γ = 90.00°
Space group P4_2/mnm (No. 136)
Asymmetric unit:
U1 0.0000 0.0000 0.0000 x2
Mn1 0.0822 0.3455 0.5000 x8
P1 0.2193 0.7807 0.5000 x4

Values from the calculation:
As for the calculated volume: 172.9 Å³ per cell. Its theoretical density is 10.0 g/cm³. The formation energy is -446 meV/atom.

***

VASP calculation (SCAN) on a crystal of MnVP2 relaxed with PBEsol.

a = 3.0141 Å, b = 6.0090 Å, c = 5.2735 Å
α = 90.00°, β = 90.00°, γ = 90.00°
Space group Pmc2_1 (No. 26)
Asymmetric unit:
Mn1 0.0000 0.0621 0.0000 x2
V1 0.5000 0.4506 0.9857 x2
P1 0.0000 0.2984 0.6725 x2
P2 0.5000 0.1740 0.3050 x2

Values from the calculation:
As for the calculated volume: 95.5 Å³ per cell. Its theoretical density is 5.8 g/cm³. The formation energy is -695 meV/atom.